1.
First-principles (PBE) data for an optimized crystal structure of BeBi2IrRu, as listed in the Alexandria database.

Cell and atoms, written as POSCAR:
```
BeBi2IrRu
1.0
-0.134 4.735 2.014
1.419 -1.478 3.568
4.830 0.811 -1.585
Bi Be Ru Ir
2 1 1 1
direct
0.500 0.000 0.000 Bi
0.000 0.000 0.500 Bi
0.000 0.500 0.000 Be
0.000 0.000 0.000 Ru
0.500 0.500 0.500 Ir
```

Calculated values
For the formation enthalpy at 0 K, the calculation gives 900 meV per atom.



2.
First-principles (PBE) data for an optimized crystal structure of BeBiTeIr2, as listed in the Alexandria database.

Cell and atoms, written as POSCAR:
```
BeBiTeIr2
1.0
-2.185 0.593 4.516
-3.533 -1.999 -1.447
1.896 -4.436 1.500
Ir Te Bi Be
2 1 1 1
direct
0.000 0.000 0.500 Ir
0.500 0.000 0.000 Ir
0.000 0.000 0.000 Te
0.500 0.500 0.500 Bi
0.000 0.500 0.000 Be
```

Calculated values
The uncorrected formation energy is 1.12 eV/atom.



no.,magnetic moment (μB per atom),uncorrected energy (eV per atom)
1,0.000,-5.025
2,0.000,-4.570